Density functional theory data (PBE) for a geometry-optimized Pm8Sm2In structure.

a = 9.537 Å, b = 9.537 Å, c = 8.086 Å
α = 104.88°, β = 104.88°, γ = 30.75°
Fractional positions:
Pm1 0.044 0.044 0.228
Pm2 0.136 0.136 0.677
Pm3 0.322 0.322 0.592
Pm4 0.411 0.411 0.058
Pm5 0.589 0.589 0.942
Pm6 0.678 0.678 0.408
Pm7 0.864 0.864 0.323
Pm8 0.956 0.956 0.772
Sm1 0.224 0.224 0.134
Sm2 0.776 0.776 0.866
In1 0.500 0.500 0.500

Computed properties:
For the volume, the calculation gives 362.42 Å³/cell. The energy of formation from the pure elements is -0.07 eV per atom. As for the space group: No. 12. The polymorph energy (0 for the lowest one) is 0 meV/atom. The calculation puts the raw total energy at -4.63 eV/atom.

Density functional theory data (PBE) for a geometry-optimized Nd3CdIr structure.

a = 5.558 Å, b = 5.558 Å, c = 5.558 Å
α = 90.00°, β = 90.00°, γ = 90.00°
Fractional positions:
Nd1 0.000 0.000 0.500
Nd2 0.000 0.500 0.000
Nd3 0.500 0.000 0.000
Cd1 0.500 0.500 0.500
Ir1 0.000 0.000 0.000

Computed properties:
For the volume, the calculation gives 171.72 Å³/cell. The energy of formation from the pure elements is -0.23 eV per atom. As for the space group: No. 221. The polymorph energy (0 for the lowest one) is 190 meV/atom. The calculation puts the raw total energy at -5.05 eV/atom.

Density functional theory data (PBE) for a geometry-optimized Tb2Pr2Er3 structure.

a = 6.187 Å, b = 6.187 Å, c = 8.030 Å
α = 97.49°, β = 97.49°, γ = 48.32°
Fractional positions:
Tb1 0.213 0.213 0.144
Tb2 0.787 0.787 0.856
Pr1 0.072 0.072 0.715
Pr2 0.928 0.928 0.285
Er1 0.356 0.356 0.572
Er2 0.500 0.500 0.000
Er3 0.644 0.644 0.428

Computed properties:
For the volume, the calculation gives 227.22 Å³/cell. The energy of formation from the pure elements is 0.02 eV per atom. As for the space group: No. 12. The polymorph energy (0 for the lowest one) is 0 meV/atom. The calculation puts the raw total energy at -4.62 eV/atom.

Density functional theory data (PBE) for a geometry-optimized TiNbTe2P structure.

a = 5.182 Å, b = 5.182 Å, c = 4.749 Å
α = 90.00°, β = 90.00°, γ = 90.00°
Fractional positions:
Ti1 0.000 0.000 0.000
Nb1 0.000 0.000 0.500
Te1 0.000 0.500 0.000
Te2 0.500 0.000 0.000
P1 0.500 0.500 0.500

Computed properties:
For the volume, the calculation gives 127.53 Å³/cell. As for the space group: No. 123. The calculation puts the raw total energy at -5.01 eV/atom. As for the formation energy from raw total energies: 0.925 eV per atom.